Computed, not measured: an optimized crystal structure of NaBiPb at the PBE level of DFT.

ΔE_f   -0.4 eV/f.u.
Final energy   -3.116 eV/atom
Energy above the most stable polymorph in this dataset   58 meV per atom

Cell and atoms, written as CIF:
```
data_NaBiPb
_chemical_formula_sum 'Na4 Bi4 Pb4'
_space_group_name_H-M_alt 'F -4 3 m'
_space_group_IT_number 216
_space_group_name_Hall 'F -4 2 3'
_cell_length_a 7.618
_cell_length_b 7.618
_cell_length_c 7.618
_cell_angle_alpha 90.00
_cell_angle_beta 90.00
_cell_angle_gamma 90.00
loop_
_atom_site_label
_atom_site_fract_x
_atom_site_fract_y
_atom_site_fract_z
Na1 0.000 0.000 0.000
Bi1 0.250 0.250 0.250
Pb1 0.000 0.000 0.500
```

Computed, not measured: an optimized crystal structure of K2Cd12Ag7 at the PBE level of DFT.

ΔE_f   -0.9 eV/f.u.
Final energy   -1.620 eV/atom

Cell and atoms, written as CIF:
```
data_K2Cd12Ag7
_chemical_formula_sum 'K2 Cd12 Ag7'
_space_group_name_H-M_alt 'P -6'
_space_group_IT_number 174
_cell_length_a 10.9414
_cell_length_b 10.9414
_cell_length_c 4.7913
_cell_angle_alpha 90.00
_cell_angle_beta 90.00
_cell_angle_gamma 120.00
loop_
_space_group_symop_operation_xyz
'x,y,z'
'-x+y,-x,-z'
'-y,x-y,z'
'x,y,-z'
'-x+y,-x,z'
'-y,x-y,-z'
loop_
_atom_site_label
_atom_site_fract_x
_atom_site_fract_y
_atom_site_fract_z
K1 0.0000 0.0000 0.0000
K2 0.3333 0.6667 0.5000
Cd1 0.0059 0.7195 0.5000
Cd2 0.1661 0.3853 0.0000
Cd3 0.3674 0.1617 0.0000
Cd4 0.5504 0.1463 0.5000
Ag1 0.0030 0.2489 0.5000
Ag2 0.0085 0.5404 0.0000
Ag3 0.6667 0.3333 0.0000
```

Computed, not measured: an optimized crystal structure of In2Bi4Pb5 at the PBE level of DFT.

ΔE_f   1.2 eV/f.u.
Final energy   -3.489 eV/atom
Energy above the most stable polymorph in this dataset   73 meV per atom

Cell and atoms, written as CIF:
```
data_In2Bi4Pb5
_chemical_formula_sum 'In4 Bi8 Pb10'
_space_group_name_H-M_alt 'I m m m'
_space_group_IT_number 71
_space_group_name_Hall '-I 2 2'
_cell_length_a 3.424
_cell_length_b 10.738
_cell_length_c 20.350
_cell_angle_alpha 90.00
_cell_angle_beta 90.00
_cell_angle_gamma 90.00
loop_
_atom_site_label
_atom_site_fract_x
_atom_site_fract_y
_atom_site_fract_z
In1 0.000 0.000 0.079
Bi1 0.000 0.000 0.234
Bi2 0.000 0.272 0.500
Pb1 0.000 0.242 0.334
Pb2 0.000 0.500 0.000
```

Computed, not measured: an optimized crystal structure of NpPd5Pt at the PBE level of DFT.

ΔE_f   -0.7 eV/f.u.
Final energy   -6.515 eV/atom

Cell and atoms, written as CIF:
```
data_NpPd5Pt
_chemical_formula_sum 'Np2 Pd10 Pt2'
_space_group_name_H-M_alt 'I m m 2'
_space_group_IT_number 44
_cell_length_a 5.097
_cell_length_b 5.357
_cell_length_c 9.238
_cell_angle_alpha 90.00
_cell_angle_beta 90.00
_cell_angle_gamma 90.00
loop_
_space_group_symop_operation_xyz
'x,y,z'
'-x,-y,z'
'-x,y,z'
'x,-y,z'
'x+1/2,y+1/2,z+1/2'
'-x+1/2,-y+1/2,z+1/2'
'-x+1/2,y+1/2,z+1/2'
'x+1/2,-y+1/2,z+1/2'
loop_
_atom_site_label
_atom_site_fract_x
_atom_site_fract_y
_atom_site_fract_z
Np1 0.000 0.000 0.000
Pd1 0.000 0.000 0.270
Pd2 0.000 0.255 0.751
Pd3 0.248 0.500 0.024
Pt1 0.000 0.500 0.307
```

Computed, not measured: an optimized crystal structure of ZnHgTe2 at the PBE level of DFT.

Final energy   -2.135 eV/atom
Energy relative to the elements, uncorrected   -0.170 eV/atom

Cell and atoms, written as CIF:
```
data_ZnHgTe2
_chemical_formula_sum 'Zn2 Hg2 Te4'
_space_group_name_H-M_alt 'C 1 m 1'
_space_group_IT_number 8
_cell_length_a 7.831
_cell_length_b 4.526
_cell_length_c 7.887
_cell_angle_alpha 90.00
_cell_angle_beta 108.91
_cell_angle_gamma 90.00
loop_
_space_group_symop_operation_xyz
'x,y,z'
'x,-y,z'
'x+1/2,y+1/2,z'
'x+1/2,-y+1/2,z'
loop_
_atom_site_label
_atom_site_fract_x
_atom_site_fract_y
_atom_site_fract_z
Zn1 0.000 0.000 0.000
Hg1 0.238 0.500 0.282
Te1 0.116 0.000 0.417
Te2 0.130 0.500 0.882
```

Computed, not measured: an optimized crystal structure of HgSI2 at the PBE level of DFT.

Final energy   -1.719 eV/atom
Energy above the most stable polymorph in this dataset   65 meV per atom
Energy relative to the elements, uncorrected   0.163 eV/atom

Cell and atoms, written as CIF:
```
data_HgSI2
_chemical_formula_sum 'Hg2 S2 I4'
_space_group_name_H-M_alt 'C 1 m 1'
_space_group_IT_number 8
_cell_length_a 6.549
_cell_length_b 7.952
_cell_length_c 6.972
_cell_angle_alpha 90.00
_cell_angle_beta 94.69
_cell_angle_gamma 90.00
loop_
_space_group_symop_operation_xyz
'x,y,z'
'x,-y,z'
'x+1/2,y+1/2,z'
'x+1/2,-y+1/2,z'
loop_
_atom_site_label
_atom_site_fract_x
_atom_site_fract_y
_atom_site_fract_z
Hg1 0.000 0.000 0.000
S1 0.298 0.000 0.391
I1 0.117 0.500 0.217
I2 0.427 0.000 0.729
```

Computed, not measured: an optimized crystal structure of Ac4ErAu5 at the PBE level of DFT.

ΔE_f   -7.8 eV/f.u.
Final energy   -4.513 eV/atom

Cell and atoms, written as CIF:
```
data_Ac4ErAu5
_chemical_formula_sum 'Ac4 Er1 Au5'
_space_group_name_H-M_alt 'P 4/m m m'
_space_group_IT_number 123
_space_group_name_Hall '-P 4 2'
_cell_length_a 3.821
_cell_length_b 3.821
_cell_length_c 19.420
_cell_angle_alpha 90.00
_cell_angle_beta 90.00
_cell_angle_gamma 90.00
loop_
_atom_site_label
_atom_site_fract_x
_atom_site_fract_y
_atom_site_fract_z
Ac1 0.000 0.000 0.103
Ac2 0.000 0.000 0.310
Er1 0.000 0.000 0.500
Au1 0.500 0.500 0.000
Au2 0.500 0.500 0.206
Au3 0.500 0.500 0.419
```

Computed, not measured: an optimized crystal structure of CaSmSc2 at the PBE level of DFT.

ΔE_f   0.6 eV/f.u.
Final energy   -4.699 eV/atom
Energy above the most stable polymorph in this dataset   0 meV per atom

Cell and atoms, written as CIF:
```
data_CaSmSc2
_chemical_formula_sum 'Ca3 Sm3 Sc6'
_space_group_name_H-M_alt 'R 3 m'
_space_group_IT_number 160
_space_group_name_Hall 'R 3 -2"'
_cell_length_a 3.4729
_cell_length_b 3.4729
_cell_length_c 34.2888
_cell_angle_alpha 90.00
_cell_angle_beta 90.00
_cell_angle_gamma 120.00
loop_
_atom_site_label
_atom_site_fract_x
_atom_site_fract_y
_atom_site_fract_z
Ca1 0.0000 0.0000 0.0000
Sm1 0.0000 0.0000 0.1662
Sc1 0.0000 0.0000 0.5791
Sc2 0.0000 0.0000 0.7537
```

The lowest final energy belongs to which entry?
NpPd5Pt